# 1
VASP calculation (PBE-GGA) on La2Hg after structural relaxation.

CIF file:
```
data_La2Hg
_chemical_formula_sum 'La8 Hg4'
_cell_length_a 3.916
_cell_length_b 17.569
_cell_length_c 5.658
_cell_angle_alpha 90.00
_cell_angle_beta 90.00
_cell_angle_gamma 90.00
_space_group_name_H-M_alt 'C m c m'
_space_group_IT_number 63
_space_group_name_Hall '-C 2c 2'
loop_
_atom_site_label
_atom_site_type_symbol
_atom_site_fract_x
_atom_site_fract_y
_atom_site_fract_z
La1 La 0.000 0.080 0.250
La2 La 0.000 0.227 0.750
Hg1 Hg 0.000 0.424 0.250
```

Summary:
Volume in Å³/cell: 389.2
Formation enthalpy at 0 K in kJ/mol of atoms: -31.82
Crystal system: orthorhombic

=====

# 2
VASP calculation (PBE-GGA) on Rb2NaHgAs2 after structural relaxation.

CIF file:
```
data_Rb2NaHgAs2
_chemical_formula_sum 'Rb8 Na4 Hg4 As8'
_cell_length_a 6.918
_cell_length_b 16.069
_cell_length_c 6.999
_cell_angle_alpha 90.00
_cell_angle_beta 90.00
_cell_angle_gamma 90.00
_space_group_name_H-M_alt 'I b a m'
_space_group_IT_number 72
_space_group_name_Hall '-I 2 2c'
loop_
_atom_site_label
_atom_site_type_symbol
_atom_site_fract_x
_atom_site_fract_y
_atom_site_fract_z
Rb1 Rb 0.246 0.171 0.000
Na1 Na 0.000 0.000 0.250
Hg1 Hg 0.000 0.500 0.250
As1 As 0.224 0.403 0.000
```

Summary:
Volume in Å³/cell: 778.0
Formation enthalpy at 0 K in kJ/mol of atoms: -28.23
Crystal system: orthorhombic